1.
DFT (PBE) results for a relaxed YPOs2 crystal.

Lattice parameters (Å, degrees): 2.9307 3.9191 5.9397 90.00 90.00 90.00
Closest atoms and distances in Å follow each position.
Fractional positions:
Y  0.0000  0.0000  0.0000  2 Y 2.93, 6 Os 2.95-3.08, 4 P 3.02
P  0.5000  0.5000  0.7018  1 Os 2.30
Os  0.0000  0.0000  0.5030  6 Os 2.69-2.93, 4 P 2.72, 2 Y 2.95-2.99
Os  0.5000  0.5000  0.3152  1 P 2.30

Properties
- Energy of formation: 0.000 eV per atom
- Symmetry: Pmm2
- Crystal system: orthorhombic

2.
DFT (PBE) results for a relaxed Li2Tb3Zn9 crystal.

Lattice parameters (Å, degrees): 8.2560 8.2560 8.2560 148.57 116.99 72.12
Closest atoms and distances in Å follow each position.
Fractional positions:
Li  0.1803  0.0000  0.1803  8 Zn 2.58-2.89
Li  0.8197  0.0000  0.8197  8 Zn 2.58-2.89
Tb  0.2170  0.2170  0.0000  12 Zn 3.07-3.18, 2 Li 3.29
Tb  0.5000  0.5000  0.0000  12 Zn 3.08-3.31
Tb  0.7830  0.7830  0.0000  12 Zn 3.07-3.18, 2 Li 3.29
Zn  0.0000  0.5000  0.5000  4 Zn 2.56, 4 Li 2.72
Zn  0.0752  0.3647  0.7105  4 Zn 2.56-2.83
Zn  0.1974  0.8429  0.3545  3 Zn 2.51-2.57, 1 Li 2.58
Zn  0.3458  0.6353  0.7105  4 Zn 2.56-2.83
Zn  0.4885  0.8429  0.6455  3 Zn 2.51-2.57, 1 Li 2.58
Zn  0.5115  0.1571  0.3545  3 Zn 2.51-2.57, 1 Li 2.58
Zn  0.6542  0.3647  0.2895  4 Zn 2.56-2.83
Zn  0.8026  0.1571  0.6455  3 Zn 2.51-2.57, 1 Li 2.58
Zn  0.9248  0.6353  0.2895  4 Zn 2.56-2.83

Properties
- Energy of formation: -0.307 eV per atom
- Symmetry: Immm
- Crystal system: orthorhombic

3.
DFT (PBE) results for a relaxed TbTlAs2O8 crystal.

Lattice parameters (Å, degrees): 6.0158 6.0158 6.0158 106.22 106.22 116.19
Closest atoms and distances in Å follow each position.
Fractional positions:
Tb  0.0000  0.0000  0.0000  8 O 2.35-2.40
Tl  0.2500  0.7500  0.5000  8 O 2.37-2.43
As  0.5000  0.5000  0.0000  4 O 1.73
As  0.7500  0.2500  0.5000  4 O 1.72
O  0.3187  0.1409  0.8222  1 As 1.73
O  0.3187  0.4965  0.1778  1 As 1.73
O  0.3921  0.0731  0.3190  1 As 1.72
O  0.5035  0.6813  0.8222  1 As 1.73
O  0.7541  0.0731  0.6810  1 As 1.72
O  0.8591  0.6813  0.1778  1 As 1.73
O  0.9269  0.2459  0.3190  1 As 1.72
O  0.9269  0.6079  0.6810  1 As 1.72

Properties
- VASP energy: -75.9 eV for the cell shown
- Symmetry: I-4m2
- Crystal system: tetragonal

4.
DFT (PBE) results for a relaxed KSO2F crystal.

Lattice parameters (Å, degrees): 3.6439 3.6439 4.8715 90.00 90.00 90.00
Closest atoms and distances in Å follow each position.
Fractional positions:
K  0.0000  0.0000  0.0000  4 F 2.58
S  0.5000  0.5000  0.5000  4 O 1.82
O  0.0000  0.5000  0.5000  2 S 1.82
O  0.5000  0.0000  0.5000  2 S 1.82
F  0.5000  0.5000  0.0000  2 S 2.44, 4 K 2.58

Properties
- VASP energy: -22.1 eV for the cell shown
- Symmetry: P4/mmm
- Crystal system: tetragonal

5.
DFT (PBE) results for a relaxed SiPPdAu2 crystal.

Lattice parameters (Å, degrees): 4.6618 4.6618 4.5844 90.00 90.00 90.00
Closest atoms and distances in Å follow each position.
Fractional positions:
Si  0.0000  0.0000  0.0000  2 P 2.29
P  0.0000  0.0000  0.5000  2 Si 2.29, 4 Au 2.33
Pd  0.5000  0.5000  0.0000  8 Au 3.27, 4 Si 3.30
Au  0.0000  0.5000  0.5000  2 P 2.33
Au  0.5000  0.0000  0.5000  2 P 2.33

Properties
- VASP energy: -19.8 eV for the cell shown
- Symmetry: P4/mmm
- Crystal system: tetragonal

6.
DFT (PBE) results for a relaxed AcY2Ho5 crystal.

Lattice parameters (Å, degrees): 7.2039 14.4098 5.0651 90.00 90.00 90.00
Closest atoms and distances in Å follow each position.
Fractional positions:
Ac  0.0000  0.0000  0.0000  8 Ho 3.60-3.65, 4 Y 3.63
Ac  0.5000  0.5000  0.0000  8 Ho 3.60-3.65, 4 Y 3.63
Y  0.2458  0.3718  0.5000  10 Ho 3.51-3.69, 2 Ac 3.63
Y  0.2542  0.8718  0.5000  10 Ho 3.51-3.69, 2 Ac 3.63
Y  0.7458  0.1282  0.5000  10 Ho 3.51-3.69, 2 Ac 3.63
Y  0.7542  0.6282  0.5000  10 Ho 3.51-3.69, 2 Ac 3.63
Ho  0.0000  0.5000  0.0000  6 Ho 3.55-3.60, 4 Y 3.60, 2 Ac 3.60
Ho  0.0012  0.7465  0.0000  7 Ho 3.53-3.61, 4 Y 3.53-3.60, 1 Ac 3.65
Ho  0.2467  0.6280  0.5000  4 Y 3.51-3.69, 6 Ho 3.53-3.61, 2 Ac 3.63
Ho  0.2533  0.1280  0.5000  4 Y 3.51-3.69, 6 Ho 3.53-3.61, 2 Ac 3.63
Ho  0.4988  0.2465  0.0000  7 Ho 3.53-3.61, 4 Y 3.53-3.60, 1 Ac 3.65
Ho  0.5000  0.0000  0.0000  6 Ho 3.55-3.60, 4 Y 3.60, 2 Ac 3.60
Ho  0.5012  0.7535  0.0000  7 Ho 3.53-3.61, 4 Y 3.53-3.60, 1 Ac 3.65
Ho  0.7467  0.8720  0.5000  4 Y 3.51-3.69, 6 Ho 3.53-3.61, 2 Ac 3.63
Ho  0.7533  0.3720  0.5000  4 Y 3.51-3.69, 6 Ho 3.53-3.61, 2 Ac 3.63
Ho  0.9988  0.2535  0.0000  7 Ho 3.53-3.61, 4 Y 3.53-3.60, 1 Ac 3.65

Properties
- Energy of formation: 0.042 eV per atom
- Symmetry: Pbam
- Crystal system: orthorhombic

7.
DFT (PBE) results for a relaxed VMoAsSe2 crystal.

Lattice parameters (Å, degrees): 4.7759 4.7759 4.7979 90.00 90.00 90.00
Closest atoms and distances in Å follow each position.
Fractional positions:
V  0.0000  0.0000  0.0000  4 Se 2.39, 2 As 2.40
Mo  0.5000  0.5000  0.5000  4 As 3.38, 8 Se 3.38
As  0.0000  0.0000  0.5000  2 V 2.40
Se  0.0000  0.5000  0.0000  2 V 2.39
Se  0.5000  0.0000  0.0000  2 V 2.39

Properties
- Energy above the most stable polymorph in this dataset: 0.000 eV/atom
- Symmetry: P4/mmm
- Crystal system: tetragonal

8.
DFT (PBE) results for a relaxed BeFe4Te crystal.

Lattice parameters (Å, degrees): 4.8053 4.8053 4.8053 60.00 60.00 60.00
Closest atoms and distances in Å follow each position.
Fractional positions:
Be  0.0000  0.0000  0.0000  12 Fe 2.82, 4 Te 2.94
Fe  0.1218  0.6261  0.6261  6 Fe 2.38-2.42
Fe  0.6261  0.1218  0.6261  6 Fe 2.38-2.42
Fe  0.6261  0.6261  0.1218  6 Fe 2.38-2.42
Fe  0.6261  0.6261  0.6261  6 Fe 2.38-2.42
Te  0.2500  0.2500  0.2500  12 Fe 2.82, 4 Be 2.94

Properties
- VASP energy: -38.5 eV for the cell shown
- Symmetry: F-43m
- Crystal system: cubic

9.
DFT (PBE) results for a relaxed CsTiZnTe2 crystal.

Lattice parameters (Å, degrees): 5.4106 5.4106 6.8184 90.00 90.00 90.00
Closest atoms and distances in Å follow each position.
Fractional positions:
Cs  0.0000  0.0000  0.0000  2 Ti 3.41
Ti  0.0000  0.0000  0.5000  4 Te 2.71
Zn  0.5000  0.5000  0.0000  4 Cs 3.83
Te  0.0000  0.5000  0.5000  2 Ti 2.71
Te  0.5000  0.0000  0.5000  2 Ti 2.71

Properties
- VASP energy: -16.7 eV for the cell shown
- Symmetry: P4/mmm
- Crystal system: tetragonal

10.
DFT (PBE) results for a relaxed NbSb2PbI crystal.

Lattice parameters (Å, degrees): 5.3825 5.3825 5.7499 90.00 90.00 90.00
Closest atoms and distances in Å follow each position.
Fractional positions:
Nb  0.0000  0.0000  0.0000  4 Sb 2.69, 2 I 2.87
Sb  0.0000  0.5000  0.0000  2 Nb 2.69
Sb  0.5000  0.0000  0.0000  2 Nb 2.69
Pb  0.5000  0.5000  0.5000  4 I 3.81, 8 Sb 3.94
I  0.0000  0.0000  0.5000  2 Nb 2.87

Properties
- Energy above the most stable polymorph in this dataset: 0.000 eV/atom
- Symmetry: P4/mmm
- Crystal system: tetragonal

11.
DFT (PBE) results for a relaxed TcIrBr2 crystal.

Lattice parameters (Å, degrees): 3.0358 3.2377 9.0342 90.00 90.97 90.00
Closest atoms and distances in Å follow each position.
Fractional positions:
Tc  0.0000  0.0000  0.0000  2 Br 2.55, 4 Ir 2.62
Ir  0.5079  0.5000  0.1551  2 Br 2.59, 4 Tc 2.62
Br  0.5196  0.0000  0.3795  2 Ir 2.59
Br  0.9888  0.5000  0.7820  2 Tc 2.55

Properties
- Energy above the most stable polymorph in this dataset: 0.045 eV/atom
- Symmetry: Pm
- Crystal system: monoclinic

12.
DFT (PBE) results for a relaxed K2CuAs2 crystal.

Lattice parameters (Å, degrees): 6.6401 6.6401 5.5115 90.00 90.00 90.00
Closest atoms and distances in Å follow each position.
Fractional positions:
K  0.1697  0.3303  0.0000  5 K 3.19-3.49, 6 As 3.29-3.44
K  0.3303  0.8303  0.0000  5 K 3.19-3.49, 6 As 3.29-3.44
K  0.6697  0.1697  0.0000  5 K 3.19-3.49, 6 As 3.29-3.44
K  0.8303  0.6697  0.0000  5 K 3.19-3.49, 6 As 3.29-3.44
Cu  0.0000  0.0000  0.5000  4 As 2.57
Cu  0.5000  0.5000  0.5000  4 As 2.57
As  0.1387  0.6387  0.5000  2 Cu 2.57, 1 As 2.61
As  0.3613  0.1387  0.5000  2 Cu 2.57, 1 As 2.61
As  0.6387  0.8613  0.5000  2 Cu 2.57, 1 As 2.61
As  0.8613  0.3613  0.5000  2 Cu 2.57, 1 As 2.61

Properties
- Energy of formation: -0.202 eV per atom
- Symmetry: P4/mbm
- Crystal system: tetragonal

Question: Number 10 is which compound?
Answer: NbSb2PbI

What did the second record say?
DFT (PBE) results for a relaxed Li2Tb3Zn9 crystal.

Lattice parameters (Å, degrees): 8.2560 8.2560 8.2560 148.57 116.99 72.12
Closest atoms and distances in Å follow each position.
Fractional positions:
Li  0.1803  0.0000  0.1803  8 Zn 2.58-2.89
Li  0.8197  0.0000  0.8197  8 Zn 2.58-2.89
Tb  0.2170  0.2170  0.0000  12 Zn 3.07-3.18, 2 Li 3.29
Tb  0.5000  0.5000  0.0000  12 Zn 3.08-3.31
Tb  0.7830  0.7830  0.0000  12 Zn 3.07-3.18, 2 Li 3.29
Zn  0.0000  0.5000  0.5000  4 Zn 2.56, 4 Li 2.72
Zn  0.0752  0.3647  0.7105  4 Zn 2.56-2.83
Zn  0.1974  0.8429  0.3545  3 Zn 2.51-2.57, 1 Li 2.58
Zn  0.3458  0.6353  0.7105  4 Zn 2.56-2.83
Zn  0.4885  0.8429  0.6455  3 Zn 2.51-2.57, 1 Li 2.58
Zn  0.5115  0.1571  0.3545  3 Zn 2.51-2.57, 1 Li 2.58
Zn  0.6542  0.3647  0.2895  4 Zn 2.56-2.83
Zn  0.8026  0.1571  0.6455  3 Zn 2.51-2.57, 1 Li 2.58
Zn  0.9248  0.6353  0.2895  4 Zn 2.56-2.83

Properties
- Energy of formation: -0.307 eV per atom
- Symmetry: Immm
- Crystal system: orthorhombic

Question: Number 10 is which compound?
Answer: NbSb2PbI

What did the third record say?
DFT (PBE) results for a relaxed TbTlAs2O8 crystal.

Lattice parameters (Å, degrees): 6.0158 6.0158 6.0158 106.22 106.22 116.19
Closest atoms and distances in Å follow each position.
Fractional positions:
Tb  0.0000  0.0000  0.0000  8 O 2.35-2.40
Tl  0.2500  0.7500  0.5000  8 O 2.37-2.43
As  0.5000  0.5000  0.0000  4 O 1.73
As  0.7500  0.2500  0.5000  4 O 1.72
O  0.3187  0.1409  0.8222  1 As 1.73
O  0.3187  0.4965  0.1778  1 As 1.73
O  0.3921  0.0731  0.3190  1 As 1.72
O  0.5035  0.6813  0.8222  1 As 1.73
O  0.7541  0.0731  0.6810  1 As 1.72
O  0.8591  0.6813  0.1778  1 As 1.73
O  0.9269  0.2459  0.3190  1 As 1.72
O  0.9269  0.6079  0.6810  1 As 1.72

Properties
- VASP energy: -75.9 eV for the cell shown
- Symmetry: I-4m2
- Crystal system: tetragonal